# ScAl3 (PBE, relaxed)
# Energy: -4.544 eV/atom
# Formation energy from the elements: -0.154 eV/atom
# Fermi-level density of states: 6.876 states/eV per cell
data_ScAl3
_chemical_formula_sum 'Sc2 Al6'
_symmetry_space_group_name_H-M 'P m -3 n'
_symmetry_Int_Tables_number 223
_symmetry_space_group_name_Hall '-P 4n 2 3'
_cell_length_a 5.3032
_cell_length_b 5.3032
_cell_length_c 5.3032
_cell_angle_alpha 90.00
_cell_angle_beta 90.00
_cell_angle_gamma 90.00
loop_
_atom_site_label
_atom_site_fract_x
_atom_site_fract_y
_atom_site_fract_z
Sc1 0.0000 0.0000 0.0000
Al1 0.0000 0.2500 0.5000


# Sc5Al4 (PBE, relaxed)
# Energy: -5.405 eV/atom
# Formation energy from the elements: -0.224 eV/atom
# Fermi-level density of states: 20.234 states/eV per cell
data_Sc5Al4
_chemical_formula_sum 'Sc10 Al8'
_symmetry_space_group_name_H-M 'I 4/m m m'
_symmetry_Int_Tables_number 139
_symmetry_space_group_name_Hall '-I 4 2'
_cell_length_a 9.1291
_cell_length_b 9.1291
_cell_length_c 4.3438
_cell_angle_alpha 90.00
_cell_angle_beta 90.00
_cell_angle_gamma 90.00
loop_
_atom_site_label
_atom_site_fract_x
_atom_site_fract_y
_atom_site_fract_z
Sc1 0.0000 0.0000 0.0000
Sc2 0.1714 0.1714 0.5000
Al1 0.0000 0.3392 0.0000


# Sc2Al (PBE, relaxed)
# Energy: -5.741 eV/atom
# Formation energy from the elements: -0.272 eV/atom
# Fermi-level density of states: 13.376 states/eV per cell
data_Sc2Al
_chemical_formula_sum 'Sc8 Al4'
_symmetry_space_group_name_H-M 'C m m m'
_symmetry_Int_Tables_number 65
_symmetry_space_group_name_Hall '-C 2 2'
_cell_length_a 4.4334
_cell_length_b 13.6337
_cell_length_c 4.1874
_cell_angle_alpha 90.00
_cell_angle_beta 90.00
_cell_angle_gamma 90.00
loop_
_atom_site_label
_atom_site_fract_x
_atom_site_fract_y
_atom_site_fract_z
Sc1 0.0000 0.0000 0.0000
Sc2 0.0000 0.1712 0.5000
Sc3 0.0000 0.5000 0.5000
Al1 0.0000 0.3381 0.0000